ErTmPt, relaxed, DFT PBE; calculated density = 12.0 g/cm3; total magnetic moment = 0.001 μB per atom; formation energy from the elements = -0.101 eV/atom
1.0
-0.290 -3.691 -2.905
-2.514 -3.779 1.241
-4.052 -0.954 -2.194
Er Pt Tm
1 1 1
direct
0.250 0.250 0.250 Er
0.750 0.750 0.750 Pt
0.000 0.000 0.000 Tm

---

Zr4Al3Mo2N3, relaxed, DFT PBE; uncorrected energy = -8.4975 eV per atom; calculated density = 6.2 g/cm3; total magnetic moment = 0.000 μB per atom
1.0
-5.166 -1.777 0.542
-2.596 -2.214 -4.301
7.286 -11.237 4.882
Al Mo N Zr
6 4 6 8
direct
0.418 0.296 0.250 Al
0.130 0.870 0.250 Al
0.704 0.582 0.250 Al
0.296 0.418 0.750 Al
0.870 0.130 0.750 Al
0.582 0.704 0.750 Al
0.371 0.528 0.086 Mo
0.472 0.629 0.414 Mo
0.528 0.371 0.586 Mo
0.629 0.472 0.914 Mo
0.671 0.159 0.000 N
0.000 0.500 0.000 N
0.329 0.841 0.000 N
0.159 0.671 0.500 N
0.500 0.000 0.500 N
0.841 0.329 0.500 N
0.699 0.860 0.094 Zr
0.029 0.202 0.094 Zr
0.798 0.971 0.406 Zr
0.140 0.301 0.406 Zr
0.860 0.699 0.594 Zr
0.202 0.029 0.594 Zr
0.971 0.798 0.906 Zr
0.301 0.140 0.906 Zr